DFT (PBE-GGA) results for NbPt3 after structural relaxation.

abc: 4.935 5.609 9.413
angles: 90.00 100.69 90.00
Space group P2_1/m (No. 11)
Unique sites:
Nb 0.120 0.250 0.378
Nb 0.287 0.250 0.872
Pt 0.109 0.750 0.376
Pt 0.208 0.001 0.123
Pt 0.292 0.750 0.872
Pt 0.381 0.501 0.626

Output
**Crystal system**: monoclinic
**Energy of formation from the pure elements**: -0.68 eV per atom
**Final energy**: -7.72 eV per atom